Entry 1:
Computed, not measured: EuTmTlGa after structural relaxation at the PBE level of DFT. Values from VASP.

Cell and atoms, written as Quantum ESPRESSO input:
```
&SYSTEM
  ibrav = 0, nat = 4, ntyp = 4
/
ATOMIC_SPECIES
Eu 151.96 Eu.upf
Tl 204.38 Tl.upf
Tm 168.93 Tm.upf
Ga 69.72 Ga.upf
ATOMIC_POSITIONS crystal
Eu 0.500 0.500 0.500
Tl 0.750 0.750 0.750
Tm 0.000 0.000 0.000
Ga 0.250 0.250 0.250
CELL_PARAMETERS angstrom
5.314 0.000 0.000
2.657 4.602 0.000
2.657 1.534 4.339
```

Summary:
* energy relative to the elements: -0.38 eV/atom
* raw total energy: -5.42 eV/atom



Entry 2:
Computed, not measured: EuTm2Ga after structural relaxation at the PBE level of DFT. Values from VASP.

Cell and atoms, written as Quantum ESPRESSO input:
```
&SYSTEM
  ibrav = 0, nat = 4, ntyp = 3
/
ATOMIC_SPECIES
Eu 151.96 Eu.upf
Tm 168.93 Tm.upf
Ga 69.72 Ga.upf
ATOMIC_POSITIONS crystal
Eu 0.500 0.500 0.500
Tm 0.000 0.000 0.807
Tm 0.000 0.000 0.193
Ga 0.500 0.500 0.000
CELL_PARAMETERS angstrom
-2.397 1.143 -2.301
-1.669 -3.085 0.206
-5.129 3.237 6.951
```

Summary:
* polymorph energy (0 for the lowest one): 0.0 meV/atom
* energy relative to the elements: -0.24 eV/atom
* raw total energy: -5.80 eV/atom



Entry 3:
Computed, not measured: EuTmGa2 after structural relaxation at the PBE level of DFT. Values from VASP.

Cell and atoms, written as Quantum ESPRESSO input:
```
&SYSTEM
  ibrav = 0, nat = 4, ntyp = 3
/
ATOMIC_SPECIES
Eu 151.96 Eu.upf
Tm 168.93 Tm.upf
Ga 69.72 Ga.upf
ATOMIC_POSITIONS crystal
Eu 0.000 0.000 0.000
Tm 0.500 0.500 0.500
Ga 0.250 0.250 0.250
Ga 0.750 0.750 0.750
CELL_PARAMETERS angstrom
5.133 0.000 0.000
2.567 4.446 0.000
2.567 1.482 4.191
```

Summary:
* polymorph energy (0 for the lowest one): 45.8 meV/atom
* energy relative to the elements: -0.48 eV/atom
* raw total energy: -5.68 eV/atom